Below is crystalline AgSbIr at its relaxed geometry, with properties calculated at the PBEsol level.

Results
ρ ... 11.92 g/cm3
Final energy ... -5.577 eV per atom
Raw formation energy ... 0.3199 eV per atom

Cell and atoms, written as POSCAR:
```
AgSbIr
1.0
-1.864 2.789 -2.792
-4.329 -0.032 -0.552
-2.417 3.307 1.506
Sb Ir Ag
1 1 1
direct
0.250 0.250 0.250
0.500 0.500 0.500
0.000 0.000 0.000
```

***

Below is crystalline Ba3Al3Ga2 at its relaxed geometry, with properties calculated at the PBEsol level.

Results
ρ ... 4.56 g/cm3
Final energy ... -3.537 eV per atom
E_form ... -0.362 eV/atom

Cell and atoms, written as POSCAR:
```
Ba3Al3Ga2
1.0
-0.273 -5.065 -3.212
4.105 4.176 -1.323
9.501 -6.398 9.282
Ba Al Ga
6 6 4
direct
0.333 0.667 0.624
0.667 0.333 0.124
0.667 0.333 0.376
0.000 0.000 0.500
0.333 0.667 0.876
0.000 0.000 0.000
0.315 0.158 0.750
0.158 0.315 0.250
0.842 0.158 0.750
0.158 0.842 0.250
0.842 0.685 0.750
0.685 0.842 0.250
0.667 0.333 0.613
0.333 0.667 0.387
0.333 0.667 0.113
0.667 0.333 0.887
```

***

Below is crystalline LiCu at its relaxed geometry, with properties calculated at the PBEsol level.

Results
ρ ... 4.73 g/cm3
Final energy ... -3.128 eV per atom
E_form ... 0.022 eV/atom

Cell and atoms, written as POSCAR:
```
LiCu
1.0
2.474 0.000 0.000
0.000 4.273 0.000
0.000 0.000 4.680
Cu Li
2 2
direct
0.000 0.250 0.360
0.000 0.750 0.640
0.500 0.250 0.842
0.500 0.750 0.158
```

***

Below is crystalline NaRuBr3 at its relaxed geometry, with properties calculated at the PBEsol level.

Results
ρ ... 4.42 g/cm3
Final energy ... -2.828 eV per atom
Raw formation energy ... 0.6079 eV per atom

Cell and atoms, written as POSCAR:
```
NaRuBr3
1.0
-4.174 1.422 -2.659
2.575 -0.680 -4.407
-1.568 -4.902 -0.160
Ru Br Na
1 3 1
direct
0.500 0.500 0.500
0.000 0.500 0.000
0.000 0.000 0.500
0.500 0.000 0.000
0.000 0.000 0.000
```

***

Below is crystalline Mg4Tl5 at its relaxed geometry, with properties calculated at the PBEsol level.

Results
ρ ... 8.39 g/cm3
Final energy ... -2.262 eV per atom
E_form ... -0.037 eV/atom

Cell and atoms, written as POSCAR:
```
Mg4Tl5
1.0
6.308 0.000 0.000
0.000 9.006 0.000
0.000 -4.503 7.799
Mg Tl
8 10
direct
0.000 0.000 0.000
0.500 0.000 0.000
0.750 0.000 0.369
0.750 0.369 0.000
0.750 0.631 0.631
0.250 0.000 0.631
0.250 0.631 0.000
0.250 0.369 0.369
0.750 0.000 0.706
0.750 0.706 0.000
0.750 0.294 0.294
0.250 0.000 0.294
0.250 0.294 0.000
0.250 0.706 0.706
0.000 0.333 0.667
0.500 0.667 0.333
0.000 0.667 0.333
0.500 0.333 0.667
```

***

Below is crystalline LiFe2Te at its relaxed geometry, with properties calculated at the PBEsol level.

Results
ρ ... 6.38 g/cm3
Final energy ... -5.194 eV per atom
Raw formation energy ... 0.6609 eV per atom

Cell and atoms, written as POSCAR:
```
LiFe2Te
1.0
3.011 0.000 0.000
1.505 2.607 0.000
1.505 0.869 8.161
Fe Li Te
2 1 1
direct
0.253 0.253 0.241
0.747 0.747 0.759
0.500 0.500 0.500
0.000 0.000 0.000
```

***

Below is crystalline RbP2CCl at its relaxed geometry, with properties calculated at the PBEsol level.

Results
ρ ... 2.70 g/cm3
Final energy ... -4.330 eV per atom
Raw formation energy ... 0.5218 eV per atom

Cell and atoms, written as POSCAR:
```
RbP2CCl
1.0
4.007 0.000 0.000
0.000 4.007 0.000
0.000 0.000 7.466
P C Rb Cl
2 1 1 1
direct
0.000 0.500 0.000
0.500 0.000 0.000
0.000 0.000 0.000
0.500 0.500 0.500
0.000 0.000 0.500
```

***

Below is crystalline Hf2Rh at its relaxed geometry, with properties calculated at the PBEsol level.

Results
ρ ... 13.55 g/cm3
Final energy ... -10.314 eV per atom
E_form ... -0.599 eV/atom

Cell and atoms, written as POSCAR:
```
Hf2Rh
1.0
-5.056 6.906 0.918
-8.395 -0.997 1.619
-3.159 2.022 7.747
Hf Rh
16 8
direct
0.125 0.125 0.125
0.125 0.125 0.625
0.125 0.625 0.125
0.625 0.125 0.125
0.686 0.686 0.314
0.314 0.314 0.686
0.686 0.314 0.686
0.314 0.686 0.314
0.686 0.314 0.314
0.314 0.686 0.686
0.564 0.564 0.936
0.936 0.936 0.564
0.564 0.936 0.564
0.936 0.564 0.936
0.564 0.936 0.936
0.936 0.564 0.564
0.904 0.904 0.904
0.904 0.904 0.287
0.904 0.287 0.904
0.287 0.904 0.904
0.346 0.346 0.346
0.346 0.346 0.963
0.346 0.963 0.346
0.963 0.346 0.346
```